1.
PBE BeH2Pd6, relaxed; raw total energy = -0.350 Ry per atom
1.0
4.971 0.000 -0.169
0.000 5.268 0.000
-0.902 0.000 8.324
Be H Pd
2 4 12
direct
0.500 0.500 0.000 Be
0.000 0.000 0.500 Be
0.019 0.526 0.688 H
0.481 0.026 0.812 H
0.519 0.974 0.188 H
0.981 0.474 0.312 H
0.796 0.727 0.191 Pd
0.762 0.640 0.525 Pd
0.814 0.640 0.857 Pd
0.686 0.140 0.643 Pd
0.738 0.140 0.975 Pd
0.704 0.227 0.309 Pd
0.204 0.273 0.809 Pd
0.238 0.360 0.475 Pd
0.186 0.360 0.143 Pd
0.314 0.860 0.357 Pd
0.262 0.860 0.025 Pd
0.296 0.773 0.691 Pd


2.
PBE Ta5TiMo4, relaxed; raw total energy = -0.823 Ry per atom; formation energy = -0.143 eV per atom
1.0
-3.098 0.078 -0.916
-0.799 -1.815 2.551
-2.283 13.468 8.869
Ta Ti Mo
5 1 4
direct
0.500 0.500 0.106 Ta
0.500 0.500 0.302 Ta
0.500 0.500 0.500 Ta
0.500 0.500 0.698 Ta
0.500 0.500 0.894 Ta
0.000 0.000 0.000 Ti
0.000 0.000 0.201 Mo
0.000 0.000 0.401 Mo
0.000 0.000 0.599 Mo
0.000 0.000 0.799 Mo


3.
PBE CePaGe, relaxed; raw total energy = -0.500 Ry per atom; E above lowest polymorph = 111 kJ/mol of formula units; formation energy = -0.122 eV per atom
1.0
-0.194 0.451 3.396
-1.357 -4.567 0.528
4.653 1.146 0.114
Ge Pa Ce
1 1 1
direct
0.005 0.000 0.000 Ge
0.337 0.667 0.333 Pa
0.659 0.333 0.667 Ce


4.
PBE BeSCl2, relaxed; raw total energy = -0.228 Ry per atom; energy relative to the elements, uncorrected = -0.222 eV per atom; E above lowest polymorph = 51 kJ/mol of formula units
1.0
-1.226 5.880 2.188
-4.748 0.588 -4.240
-5.901 1.501 1.997
Be S Cl
2 2 4
direct
0.500 0.500 0.000 Be
0.250 0.750 0.500 Be
0.000 0.000 0.000 S
0.750 0.250 0.500 S
0.472 0.125 0.250 Cl
0.278 0.625 0.250 Cl
0.375 0.528 0.750 Cl
0.875 0.722 0.750 Cl


5.
PBE SrVGe2, relaxed; raw total energy = -0.381 Ry per atom; formation energy = -0.175 eV per atom
1.0
-1.935 -3.166 2.026
1.864 -3.784 0.278
2.552 -0.679 5.785
Sr Ge V
1 2 1
direct
0.500 0.500 0.500 Sr
0.284 0.284 0.147 Ge
0.716 0.716 0.853 Ge
0.000 0.000 0.000 V


6.
PBE Na2TlHgH, relaxed; raw total energy = -0.129 Ry per atom; E above lowest polymorph = 21 kJ/mol of formula units
1.0
4.799 0.000 0.000
0.000 4.799 0.000
0.000 0.000 4.598
Na Tl Hg H
2 1 1 1
direct
0.000 0.500 0.000 Na
0.500 0.000 0.000 Na
0.500 0.500 0.500 Tl
0.000 0.000 0.500 Hg
0.000 0.000 0.000 H